Entry 1:
MgBeSiIr: relaxed, GGA-PBE.

Unit cell a=3.9851 b=3.9851 c=5.2131 alpha=67.53 beta=67.53 gamma=60.00
Last column: nearest neighbours and their distance in Å.
Element x y z (fractional)
Mg 0.8177 0.8177 0.5469  1 Si 2.66, 1 Ir 2.68, 3 Be 2.88
Be 0.2741 0.2741 0.1776  3 Ir 2.32, 3 Si 2.48
Ir 0.6268 0.6268 0.1196  3 Be 2.32, 3 Si 2.39
Si 0.0072 0.0072 0.9784  3 Ir 2.39, 3 Be 2.48, 1 Mg 2.66

## Properties
**Symmetry**: R3m
**Raw total energy**: -5.30 eV per atom
**Formation energy without anion corrections**: -38.86 kJ per mole of atoms
**Total magnetic moment**: 0.000 μB/atom

=====

Entry 2:
MoOsRhI2: relaxed, GGA-PBE.

Unit cell a=5.2728 b=4.8041 c=5.2728 alpha=90.00 beta=90.00 gamma=90.00
Last column: nearest neighbours and their distance in Å.
Element x y z (fractional)
Mo 0.0000 0.0000 0.0000  2 Rh 2.40, 4 I 2.64
Rh 0.0000 0.5000 0.0000  2 Mo 2.40
I 0.0000 0.0000 0.5000  2 Mo 2.64
I 0.5000 0.0000 0.0000  2 Mo 2.64
Os 0.5000 0.5000 0.5000  8 I 3.57, 4 Rh 3.73

## Properties
**Symmetry**: P4/mmm
**Raw total energy**: -4.53 eV per atom
**Formation energy without anion corrections**: 190.41 kJ per mole of atoms
**Total magnetic moment**: 0.632 μB/atom

=====

Entry 3:
BaPIr4: relaxed, GGA-PBE.

Unit cell a=5.4212 b=5.4212 c=5.4212 alpha=60.00 beta=60.00 gamma=60.00
Last column: nearest neighbours and their distance in Å.
Element x y z (fractional)
Ir 0.3762 0.8713 0.3762  6 Ir 2.68-2.74
Ir 0.8713 0.3762 0.3762  6 Ir 2.68-2.74
Ir 0.3762 0.3762 0.3762  6 Ir 2.68-2.74
Ir 0.3762 0.3762 0.8713  6 Ir 2.68-2.74
P 0.7500 0.7500 0.7500  12 Ir 3.18, 4 Ba 3.32
Ba 0.0000 0.0000 0.0000  12 Ir 3.18, 4 P 3.32

## Properties
**Symmetry**: F-43m
**DFT formation energy**: 3.1 eV per formula unit
**Raw total energy**: -6.61 eV per atom
**Total magnetic moment**: 0.000 μB/atom

=====

Entry 4:
Li4Er3ZrS8: relaxed, GGA-PBE.

Unit cell a=7.6228 b=7.5795 c=7.6221 alpha=120.21 beta=120.00 gamma=90.00
Last column: nearest neighbours and their distance in Å.
Element x y z (fractional)
Er 0.5000 0.5000 0.0000  6 S 2.70-2.71
Er 0.0000 0.5000 0.5000  6 S 2.70-2.71
Er 0.5000 0.5000 0.5000  6 S 2.70-2.71
S 0.2453 0.7493 0.0042  1 Zr 2.64, 3 Li 2.66-2.74, 2 Er 2.71
S 0.7547 0.2507 0.9958  1 Zr 2.64, 3 Li 2.66-2.74, 2 Er 2.71
S 0.7510 0.7527 0.5019  3 Li 2.68, 3 Er 2.70
S 0.2490 0.2473 0.4981  3 Li 2.68, 3 Er 2.70
S 0.2411 0.2507 0.9958  1 Zr 2.64, 3 Li 2.66-2.74, 2 Er 2.71
S 0.7547 0.2507 0.5093  1 Zr 2.64, 3 Li 2.67-2.74, 2 Er 2.71
S 0.2453 0.7493 0.4907  1 Zr 2.64, 3 Li 2.67-2.74, 2 Er 2.71
S 0.7589 0.7493 0.0042  1 Zr 2.64, 3 Li 2.66-2.74, 2 Er 2.71
Zr 0.0000 0.5000 0.0000  6 S 2.64
Li 0.5000 0.0000 0.5000  6 S 2.66-2.68
Li 0.5000 0.0000 0.0000  6 S 2.74
Li 0.0000 0.0000 0.5000  6 S 2.66-2.68
Li 0.0000 0.0000 0.0000  6 S 2.67-2.68

## Properties
**Symmetry**: R-3m
**Raw total energy**: -5.68 eV per atom
**Formation energy without anion corrections**: -169.12 kJ per mole of atoms
**Total magnetic moment**: 0.000 μB/atom

=====

Entry 5:
TiSn2Hg2: relaxed, GGA-PBE.

Unit cell a=7.5541 b=7.5541 c=4.2750 alpha=90.00 beta=90.00 gamma=90.00
Last column: nearest neighbours and their distance in Å.
Element x y z (fractional)
Ti 0.0000 0.0000 0.0000  4 Sn 2.89
Ti 0.5000 0.5000 0.0000  4 Sn 2.89
Sn 0.8524 0.6476 0.0000  2 Ti 2.89, 6 Hg 2.95-3.17, 1 Sn 3.15
Sn 0.3524 0.8524 0.0000  2 Ti 2.89, 6 Hg 2.95-3.17, 1 Sn 3.15
Sn 0.6476 0.1476 0.0000  2 Ti 2.89, 6 Hg 2.95-3.17, 1 Sn 3.15
Sn 0.1476 0.3524 0.0000  2 Ti 2.89, 6 Hg 2.95-3.17, 1 Sn 3.15
Hg 0.8377 0.3377 0.5000  6 Sn 2.95-3.17
Hg 0.3377 0.1623 0.5000  6 Sn 2.95-3.17
Hg 0.1623 0.6623 0.5000  6 Sn 2.95-3.17
Hg 0.6623 0.8377 0.5000  6 Sn 2.95-3.17

## Properties
**Symmetry**: P4/mbm
**DFT formation energy**: 1.1 eV per formula unit
**Raw total energy**: -3.07 eV per atom
**Total magnetic moment**: 0.189 μB/atom

=====

Entry 6:
Mg5Zn4Pd4: relaxed, GGA-PBE.

Unit cell a=4.0905 b=7.6755 c=7.6755 alpha=85.93 beta=74.55 gamma=74.55
Last column: nearest neighbours and their distance in Å.
Element x y z (fractional)
Zn 0.4221 0.6853 0.4705  3 Pd 2.59-2.60, 5 Zn 2.78-2.83
Zn 0.8926 0.5295 0.6853  3 Pd 2.59-2.60, 5 Zn 2.78-2.83
Zn 0.1074 0.4705 0.3147  3 Pd 2.59-2.60, 5 Zn 2.78-2.83
Zn 0.5779 0.3147 0.5295  3 Pd 2.59-2.60, 5 Zn 2.78-2.83
Pd 0.2400 0.6994 0.8206  6 Mg 2.59-2.87, 3 Zn 2.59-2.60
Pd 0.9394 0.8206 0.3006  6 Mg 2.59-2.87, 3 Zn 2.59-2.60
Pd 0.0606 0.1794 0.6994  6 Mg 2.59-2.87, 3 Zn 2.59-2.60
Pd 0.7600 0.3006 0.1794  6 Mg 2.59-2.87, 3 Zn 2.59-2.60
Mg 0.6279 0.6672 0.0769  5 Pd 2.80-2.87, 4 Zn 2.92-3.07
Mg 0.7048 0.9231 0.6672  5 Pd 2.80-2.87, 4 Zn 2.92-3.07
Mg 0.2952 0.0769 0.3328  5 Pd 2.80-2.87, 4 Zn 2.92-3.07
Mg 0.0000 0.0000 0.0000  4 Pd 2.59
Mg 0.3721 0.3328 0.9231  5 Pd 2.80-2.87, 4 Zn 2.92-3.07

## Properties
**Symmetry**: I4/m
**DFT formation energy**: -6.1 eV per formula unit
**Raw total energy**: -3.07 eV per atom
**Total magnetic moment**: 0.000 μB/atom

=====

Entry 7:
TbErBeCu: relaxed, GGA-PBE.

Unit cell a=4.8587 b=4.8587 c=4.8587 alpha=60.00 beta=60.00 gamma=60.00
Last column: nearest neighbours and their distance in Å.
Element x y z (fractional)
Er 0.5000 0.5000 0.5000  4 Cu 2.98, 4 Be 2.98
Tb 0.0000 0.0000 0.0000  4 Be 2.98, 4 Cu 2.98
Cu 0.2500 0.2500 0.2500  4 Tb 2.98, 4 Er 2.98
Be 0.7500 0.7500 0.7500  4 Er 2.98, 4 Tb 2.98

## Properties
**Symmetry**: F-43m
**DFT formation energy**: -0.3 eV per formula unit
**Raw total energy**: -4.32 eV per atom
**Total magnetic moment**: 0.000 μB/atom

=====

Entry 8:
Rb2PaSnO6: relaxed, GGA-PBE.

Unit cell a=4.3382 b=4.3382 c=8.5405 alpha=90.00 beta=90.00 gamma=90.00
Last column: nearest neighbours and their distance in Å.
Element x y z (fractional)
O 0.0000 0.5000 0.0000  2 Pa 2.17
O 0.5000 0.0000 0.0000  2 Pa 2.17
O 0.5000 0.0000 0.5000  2 Sn 2.17
O 0.5000 0.5000 0.2571  1 Sn 2.07, 1 Pa 2.20
O 0.0000 0.5000 0.5000  2 Sn 2.17
O 0.5000 0.5000 0.7429  1 Sn 2.07, 1 Pa 2.20
Sn 0.5000 0.5000 0.5000  6 O 2.07-2.17
Pa 0.5000 0.5000 0.0000  6 O 2.17-2.20
Rb 0.0000 0.0000 0.7360  12 O 2.96-3.13
Rb 0.0000 0.0000 0.2640  12 O 2.96-3.13

## Properties
**Symmetry**: P4/mmm
**Raw total energy**: -6.70 eV per atom
**Formation energy without anion corrections**: -210.94 kJ per mole of atoms
**Total magnetic moment**: 0.099 μB/atom

=====

Entry 9:
Rb2LiHI: relaxed, GGA-PBE.

Unit cell a=7.1636 b=5.4375 c=7.1636 alpha=90.00 beta=90.00 gamma=90.00
Last column: nearest neighbours and their distance in Å.
Element x y z (fractional)
H 0.5000 0.5000 0.5000  8 Rb 4.50
Rb 0.0000 0.0000 0.5000  2 I 3.58
Rb 0.5000 0.0000 0.0000  2 I 3.58
Li 0.0000 0.5000 0.0000  2 I 2.72
I 0.0000 0.0000 0.0000  2 Li 2.72

## Properties
**Symmetry**: P4/mmm
**Raw total energy**: -1.90 eV per atom
**Total magnetic moment**: 0.000 μB/atom

=====

Entry 10:
Co2AgOs: relaxed, GGA-PBE.

Unit cell a=2.6793 b=4.6492 c=4.4594 alpha=90.00 beta=90.00 gamma=90.00
Last column: nearest neighbours and their distance in Å.
Element x y z (fractional)
Co 0.5000 0.5000 0.0000  4 Ag 2.60, 6 Co 2.68
Co 0.0000 0.0000 0.0000  4 Os 2.60, 6 Co 2.68
Ag 0.0000 0.5000 0.5000  4 Co 2.60, 2 Ag 2.68, 4 Os 2.68
Os 0.5000 0.0000 0.5000  4 Co 2.60, 2 Os 2.68, 4 Ag 2.68

## Properties
**ΔE to the lowest computed polymorph**: 397 meV per atom
**Symmetry**: Pmmm
**DFT formation energy**: 2.7 eV per formula unit
**Raw total energy**: -6.39 eV per atom
**Total magnetic moment**: 0.972 μB/atom

=====

Entry 11:
Ca4PmPa3N8: relaxed, GGA-PBE.

Unit cell a=7.1325 b=7.0393 c=7.1324 alpha=120.44 beta=120.00 gamma=90.00
Last column: nearest neighbours and their distance in Å.
Element x y z (fractional)
N 0.2612 0.2835 0.5224  3 Pa 2.40, 3 Ca 2.62
N 0.2816 0.2840 0.0328  2 Pa 2.35, 1 Pm 2.51, 1 Ca 2.52
N 0.7184 0.7160 0.9672  2 Pa 2.35, 1 Pm 2.51, 1 Ca 2.52
N 0.7512 0.2840 0.0328  2 Pa 2.35, 1 Pm 2.51, 1 Ca 2.52
N 0.2488 0.7160 0.9672  2 Pa 2.35, 1 Pm 2.51, 1 Ca 2.52
N 0.7512 0.2841 0.5025  2 Pa 2.35, 1 Pm 2.51, 1 Ca 2.52
N 0.7388 0.7165 0.4776  3 Pa 2.40, 3 Ca 2.62
N 0.2488 0.7159 0.4975  2 Pa 2.35, 1 Pm 2.51, 1 Ca 2.52
Ca 0.5000 0.0000 0.0000  6 N 2.52
Ca 0.5000 0.0000 0.5000  6 N 2.62-2.67
Ca 0.0000 0.0000 0.5000  6 N 2.62-2.67
Ca 0.0000 0.0000 0.0000  6 N 2.62-2.67
Pa 0.0000 0.5000 0.5000  6 N 2.35-2.40
Pa 0.5000 0.5000 0.5000  6 N 2.35-2.40
Pa 0.5000 0.5000 0.0000  6 N 2.35-2.40
Pm 0.0000 0.5000 0.0000  6 N 2.51

## Properties
**Symmetry**: R-3m
**Raw total energy**: -8.19 eV per atom
**Formation energy without anion corrections**: -139.68 kJ per mole of atoms
**Total magnetic moment**: 0.000 μB/atom

=====

Entry 12:
Be2CuAuBr: relaxed, GGA-PBE.

Unit cell a=4.1168 b=5.8581 c=4.1168 alpha=90.00 beta=90.00 gamma=90.00
Last column: nearest neighbours and their distance in Å.
Element x y z (fractional)
Br 0.0000 0.5000 0.0000  4 Au 2.91, 2 Cu 2.93
Be 0.5000 0.0000 0.0000  2 Cu 2.06
Be 0.0000 0.0000 0.5000  2 Cu 2.06
Au 0.5000 0.5000 0.5000  4 Br 2.91
Cu 0.0000 0.0000 0.0000  4 Be 2.06

## Properties
**Symmetry**: P4/mmm
**Raw total energy**: -2.41 eV per atom
**Formation energy without anion corrections**: 86.14 kJ per mole of atoms
**Total magnetic moment**: 0.000 μB/atom